one | CoMo2Rh | PBE | optimized geometry

Computed properties:
As for the spin magnetization: 0.0 μB per formula unit.

Lattice parameters (Å, degrees): 4.704 4.704 4.704 132.28 132.28 69.79
Fractional positions:
Co: 0.000 0.000 0.000
Mo: 0.250 0.750 0.500
Mo: 0.750 0.250 0.500
Rh: 0.500 0.500 0.000


two | CoMo2Rh | PBE | optimized geometry

Computed properties:
As for the spin magnetization: 0.7 μB per formula unit.

Lattice parameters (Å, degrees): 4.738 4.738 4.615 100.50 100.50 33.97
Fractional positions:
Co: 0.000 0.000 0.000
Mo: 0.253 0.253 0.757
Mo: 0.747 0.747 0.243
Rh: 0.500 0.500 0.500


three | CoMo2Rh | PBE | optimized geometry

Computed properties:
As for the spin magnetization: 0.8 μB per formula unit.

Lattice parameters (Å, degrees): 9.183 9.183 9.183 156.53 156.53 33.44
Fractional positions:
Co: 0.000 0.000 0.000
Co: 0.750 0.250 0.500
Mo: 0.106 0.625 0.981
Mo: 0.375 0.356 0.481
Mo: 0.644 0.125 0.019
Mo: 0.875 0.894 0.519
Rh: 0.250 0.750 0.500
Rh: 0.500 0.500 0.000


Relative stability in eV/atom, measured from the most stable structure: one 0.000; two 0.175; three 0.618


one | VCoMoRh | PBE | optimized geometry

Computed properties:
As for the spin magnetization: 0.0 μB per formula unit.

Lattice parameters (Å, degrees): 4.247 4.247 4.247 60.00 60.00 60.00
Fractional positions:
V: 0.000 0.000 0.000
Co: 0.750 0.750 0.750
Mo: 0.250 0.250 0.250
Rh: 0.500 0.500 0.500


two | VCoMoRh | PBE | optimized geometry

Computed properties:
As for the spin magnetization: 0.0 μB per formula unit.

Lattice parameters (Å, degrees): 4.233 4.233 4.233 60.00 60.00 60.00
Fractional positions:
V: 0.000 0.000 0.000
Co: 0.500 0.500 0.500
Mo: 0.250 0.250 0.250
Rh: 0.750 0.750 0.750


Relative stability in eV/atom, measured from the most stable structure: one 0.061; two 0.000


one | Co2MoRu2 | PBE | optimized geometry

Computed properties:
As for the spin magnetization: 1.8 μB per formula unit.

Lattice parameters (Å, degrees): 7.075 7.075 2.663 90.00 90.00 90.00
Fractional positions:
Co: 0.170 0.330 0.000
Co: 0.330 0.830 0.000
Co: 0.670 0.170 0.000
Co: 0.830 0.670 0.000
Mo: 0.000 0.000 0.500
Mo: 0.500 0.500 0.500
Ru: 0.127 0.627 0.500
Ru: 0.373 0.127 0.500
Ru: 0.627 0.873 0.500
Ru: 0.873 0.373 0.500


two | Co2MoRu2 | PBE | optimized geometry

Computed properties:
As for the spin magnetization: 0.0 μB per formula unit.

Lattice parameters (Å, degrees): 6.958 6.958 2.695 90.00 90.00 90.00
Fractional positions:
Co: 0.120 0.380 0.000
Co: 0.380 0.880 0.000
Co: 0.620 0.120 0.000
Co: 0.880 0.620 0.000
Mo: 0.000 0.000 0.000
Mo: 0.500 0.500 0.000
Ru: 0.175 0.675 0.500
Ru: 0.325 0.175 0.500
Ru: 0.675 0.825 0.500
Ru: 0.825 0.325 0.500


Relative stability in eV/atom, measured from the most stable structure: one 0.106; two 0.000


one | CoMoS3 | PBE | optimized geometry

Computed properties:
As for the spin magnetization: 2.5 μB per formula unit.

Lattice parameters (Å, degrees): 4.673 4.673 4.673 90.00 90.00 90.00
Fractional positions:
Co: 0.000 0.000 0.000
Mo: 0.500 0.500 0.500
S: 0.000 0.500 0.500
S: 0.500 0.000 0.500
S: 0.500 0.500 0.000


two | CoMoS3 | PBE | optimized geometry

Computed properties:
As for the spin magnetization: 1.6 μB per formula unit.

Lattice parameters (Å, degrees): 4.364 4.364 4.364 90.00 90.00 90.00
Fractional positions:
Co: 0.000 0.000 0.000
Mo: 0.500 0.500 0.500
S: 0.000 0.000 0.500
S: 0.000 0.500 0.000
S: 0.500 0.000 0.000


Relative stability in eV/atom, measured from the most stable structure: one 0.000; two 0.020


one | CoMo3S | PBE | optimized geometry

Computed properties:
As for the spin magnetization: 0.0 μB per formula unit.

Lattice parameters (Å, degrees): 4.367 4.367 4.367 90.00 90.00 90.00
Fractional positions:
Co: 0.000 0.000 0.000
Mo: 0.000 0.500 0.500
Mo: 0.500 0.000 0.500
Mo: 0.500 0.500 0.000
S: 0.500 0.500 0.500


two | CoMo3S | PBE | optimized geometry

Computed properties:
As for the spin magnetization: 0.0 μB per formula unit.

Lattice parameters (Å, degrees): 4.472 4.472 4.472 90.00 90.00 90.00
Fractional positions:
Co: 0.000 0.000 0.000
Mo: 0.000 0.000 0.500
Mo: 0.000 0.500 0.000
Mo: 0.500 0.000 0.000
S: 0.500 0.500 0.500


Relative stability in eV/atom, measured from the most stable structure: one 0.000; two 0.547


one | CoSb2TeMo | PBE | optimized geometry

Computed properties:
As for the spin magnetization: 1.9 μB per formula unit.

Lattice parameters (Å, degrees): 5.252 5.252 5.200 90.00 90.00 90.00
Fractional positions:
Co: 0.000 0.000 0.000
Sb: 0.000 0.500 0.500
Sb: 0.500 0.000 0.500
Te: 0.500 0.500 0.000
Mo: 0.500 0.500 0.500


two | CoSb2TeMo | PBE | optimized geometry

Computed properties:
As for the spin magnetization: 2.9 μB per formula unit.

Lattice parameters (Å, degrees): 4.810 4.810 5.213 90.00 90.00 90.00
Fractional positions:
Co: 0.000 0.000 0.000
Sb: 0.000 0.500 0.000
Sb: 0.500 0.000 0.000
Te: 0.000 0.000 0.500
Mo: 0.500 0.500 0.500


Relative stability in eV/atom, measured from the most stable structure: one 0.196; two 0.000